Record 1
Density functional theory data (SCAN) for BaSr2Li at its PBEsol-relaxed geometry.

The space group is Imm2 (No. 44) and the conventional cell measures 4.421, 6.563 and 12.800 Å, with angles of 90.00, 90.00 and 90.00 degrees. The inequivalent atoms are Ba at (0.000, 0.000, 0.000), Sr at (0.000, 0.000, 0.436), Sr at (0.000, 0.500, 0.216) and Li at (0.000, 0.500, 0.723).

The formation energy is 0.052 eV per atom. Its spin magnetization is 0.1 μB/f.u. The distance to the lowest polymorph of the same formula comes out at 40 meV/atom. The calculation puts the volume at 46.42 Å³/atom. For the total energy, the calculation gives -21.57 eV/atom.

Record 2
Density functional theory data (SCAN) for Tl2InSe at its PBEsol-relaxed geometry.

The space group is Imm2 (No. 44) and the conventional cell measures 3.788, 5.426 and 10.402 Å, with angles of 90.00, 90.00 and 90.00 degrees. The inequivalent atoms are Tl at (0.000, 0.000, 0.000), Tl at (0.000, 0.500, 0.218), In at (0.000, 0.000, 0.446) and Se at (0.000, 0.500, 0.747).

Its spin magnetization is 0.0 μB/f.u. The distance to the lowest polymorph of the same formula comes out at 39 meV/atom. The calculation puts the volume at 26.72 Å³/atom. For the total energy, the calculation gives -49.76 eV/atom.

Record 3
Density functional theory data (SCAN) for Mg3SnPt at its PBEsol-relaxed geometry.

The space group is Pm-3m (No. 221) and the conventional cell measures 5.126, 5.126 and 5.126 Å, with angles of 90.00, 90.00 and 90.00 degrees. The inequivalent atoms are Mg at (0.000, 0.000, 0.500), Sn at (0.000, 0.000, 0.000) and Pt at (0.500, 0.500, 0.500).

The formation energy is 0.516 eV per atom. Its spin magnetization is 0.0 μB/f.u. The calculation puts the volume at 26.93 Å³/atom. For the total energy, the calculation gives -23.69 eV/atom.

Record 4
Density functional theory data (SCAN) for Ga2AgIr2 at its PBEsol-relaxed geometry.

The space group is P4/mbm (No. 127) and the conventional cell measures 7.207, 7.207 and 2.892 Å, with angles of 90.00, 90.00 and 90.00 degrees. The inequivalent atoms are Ga at (0.155, 0.345, 0.000), Ag at (0.000, 0.000, 0.500) and Ir at (0.143, 0.643, 0.500).

The formation energy is -0.271 eV per atom. Its spin magnetization is 0.0 μB/f.u. The calculation puts the volume at 15.02 Å³/atom. For the total energy, the calculation gives -41.52 eV/atom.

Record 5
Density functional theory data (SCAN) for CuTcPt2 at its PBEsol-relaxed geometry.

The space group is Cmmm (No. 65) and the conventional cell measures 5.392, 7.691 and 2.678 Å, with angles of 90.00, 90.00 and 90.00 degrees. The inequivalent atoms are Cu at (0.000, 0.000, 0.000), Tc at (0.000, 0.500, 0.000) and Pt at (0.250, 0.250, 0.500).

The formation energy is -0.115 eV per atom. Its spin magnetization is 0.0 μB/f.u. The distance to the lowest polymorph of the same formula comes out at 138 meV/atom. The calculation puts the volume at 13.88 Å³/atom. For the total energy, the calculation gives -47.78 eV/atom.

Record 6
Density functional theory data (SCAN) for Ba3Pt at its PBEsol-relaxed geometry.

The space group is R-3m (No. 166, hexagonal axes) and the conventional cell measures 11.1235, 11.1235 and 4.0285 Å, with angles of 90.00, 90.00 and 120.00 degrees. The inequivalent atoms are Ba at (0.0000, 0.5000, 0.0000) and Pt at (0.0000, 0.0000, 0.0000).

The formation energy is 0.117 eV per atom. Its spin magnetization is 0.0 μB/f.u. The calculation puts the volume at 35.97 Å³/atom. For the total energy, the calculation gives -47.09 eV/atom.